# PBE-GGA HfScUO6, optimized geometry
# - formation energy from raw total energies (kJ per mole of atoms) = -317.1
# - total magnetization (μB per formula unit) = 1.00
data_HfScUO6
_chemical_formula_sum 'Hf2 Sc2 U2 O12'
_space_group_name_H-M_alt 'P -3 1 c'
_space_group_IT_number 163
_space_group_name_Hall '-P 3 2c'
_cell_length_a 5.5398
_cell_length_b 5.5398
_cell_length_c 9.0126
_cell_angle_alpha 90.00
_cell_angle_beta 90.00
_cell_angle_gamma 120.00
loop_
_atom_site_label
_atom_site_fract_x
_atom_site_fract_y
_atom_site_fract_z
_atom_site_occupancy
Hf1 0.3333 0.6667 0.2500 1
Sc1 0.0000 0.0000 0.0000 1
U1 0.3333 0.6667 0.7500 1
O1 0.0087 0.3401 0.1307 1